# SrAc2CeO6

Crystalline SrAc2CeO6 at its relaxed geometry (PBE-GGA, Alexandria via LeMat-Bulk).

The space group is P4mm (No. 99) and the conventional cell measures 5.753, 5.753 and 5.905 Å, with angles of 90.00, 90.00 and 90.00 degrees. The asymmetric unit holds Sr at (0.000, 0.000, 0.000), Ac at (0.000, 0.500, 0.434), Ce at (0.500, 0.500, 0.023), O at (0.000, 0.000, 0.595), O at (0.261, 0.261, 0.193) and O at (0.500, 0.500, 0.655).

The formation energy without anion corrections comes out at -30.7 eV/f.u. Its electronic total energy is -7.631 eV per atom. The calculated density comes out at 6.6 g/cm3. The calculation puts the spin magnetization at 0.06 μB/f.u.

---

# LiScGe

Crystalline LiScGe at its relaxed geometry (PBE-GGA, Alexandria via LeMat-Bulk).

The space group is P-6m2 (No. 187) and the conventional cell measures 4.6906, 4.6906 and 3.2222 Å, with angles of 90.00, 90.00 and 120.00 degrees. The asymmetric unit holds Li at (0.0000, 0.0000, 0.0000), Sc at (0.3333, 0.6667, 0.5000) and Ge at (0.6667, 0.3333, 0.5000).

The value obtained for the density of states at the Fermi level is 0.28 states/eV per atom. Its electronic total energy is -4.455 eV per atom. The calculation puts the energy relative to the elements at -167 meV/atom. The calculated density comes out at 3.4 g/cm3. The calculation puts the spin magnetization at 0.00 μB/f.u.

---

# CaRe2Se

Crystalline CaRe2Se at its relaxed geometry (PBE-GGA, Alexandria via LeMat-Bulk).

The space group is R-3m (No. 166, hexagonal axes) and the conventional cell measures 3.0353, 3.0353 and 26.9062 Å, with angles of 90.00, 90.00 and 120.00 degrees. The asymmetric unit holds Ca at (0.0000, 0.0000, 0.0000), Re at (0.0000, 0.0000, 0.2372) and Se at (0.0000, 0.0000, 0.5000).

The value obtained for the density of states at the Fermi level is 1.29 states/eV per atom. The formation energy without anion corrections comes out at 3.3 eV/f.u. Its electronic total energy is -6.777 eV per atom. The calculated density comes out at 11.4 g/cm3. The calculation puts the spin magnetization at 0.00 μB/f.u.

---

# YRu2Cl

Crystalline YRu2Cl at its relaxed geometry (PBE-GGA, Alexandria via LeMat-Bulk).

The space group is Cmmm (No. 65) and the conventional cell measures 3.284, 5.209 and 8.450 Å, with angles of 90.00, 90.00 and 90.00 degrees. The asymmetric unit holds Y at (0.000, 0.000, 0.000), Ru at (0.000, 0.500, 0.261) and Cl at (0.000, 0.000, 0.500).

The value obtained for the density of states at the Fermi level is 1.50 states/eV per atom. The formation energy without anion corrections comes out at 2.1 eV/f.u. Its electronic total energy is -6.185 eV per atom. The distance to the lowest polymorph of the same formula is 0.8574 eV per atom. The calculated density comes out at 7.5 g/cm3. The calculation puts the spin magnetization at 0.00 μB/f.u.

---

# TaTcRu2

Crystalline TaTcRu2 at its relaxed geometry (PBE-GGA, Alexandria via LeMat-Bulk).

The space group is P4/mmm (No. 123) and the conventional cell measures 3.936, 3.936 and 3.891 Å, with angles of 90.00, 90.00 and 90.00 degrees. The asymmetric unit holds Ta at (0.000, 0.000, 0.000), Tc at (0.500, 0.500, 0.000) and Ru at (0.000, 0.500, 0.500).

The value obtained for the density of states at the Fermi level is 1.35 states/eV per atom. Its electronic total energy is -10.318 eV per atom. The calculation puts the energy relative to the elements at -125 meV/atom. The distance to the lowest polymorph of the same formula is 0.0000 eV per atom. The calculated density comes out at 13.3 g/cm3. The calculation puts the spin magnetization at 0.00 μB/f.u.

---

# Ho3AlSe2

Crystalline Ho3AlSe2 at its relaxed geometry (PBE-GGA, Alexandria via LeMat-Bulk).

The space group is Immm (No. 71) and the conventional cell measures 3.961, 5.835 and 12.822 Å, with angles of 90.00, 90.00 and 90.00 degrees. The asymmetric unit holds Ho at (0.000, 0.000, 0.000), Ho at (0.000, 0.000, 0.330), Al at (0.000, 0.500, 0.000) and Se at (0.000, 0.500, 0.333).

The value obtained for the density of states at the Fermi level is 0.17 states/eV per atom. The formation energy without anion corrections comes out at -7.6 eV/f.u. Its electronic total energy is -5.341 eV per atom. The calculated density comes out at 7.6 g/cm3. The calculation puts the spin magnetization at 0.00 μB/f.u.

---

# Sm3ErPu2Se6

Crystalline Sm3ErPu2Se6 at its relaxed geometry (PBE-GGA, Alexandria via LeMat-Bulk).

The space group is C2/m (No. 12) and the conventional cell measures 18.056, 4.123 and 8.311 Å, with angles of 90.00, 103.48 and 90.00 degrees. The asymmetric unit holds Sm at (0.000, 0.000, 0.000), Sm at (0.168, 0.500, 0.334), Er at (0.000, 0.000, 0.500), Pu at (0.166, 0.500, 0.833), Se at (0.001, 0.500, 0.258), Se at (0.163, 0.000, 0.583) and Se at (0.168, 0.000, 0.081).

The value obtained for the density of states at the Fermi level is 1.59 states/eV per atom. The formation energy without anion corrections comes out at -20.7 eV/f.u. Its electronic total energy is -7.414 eV per atom. The calculated density comes out at 8.7 g/cm3. The calculation puts the spin magnetization at 11.63 μB/f.u.

---

# CaSc3I

Crystalline CaSc3I at its relaxed geometry (PBE-GGA, Alexandria via LeMat-Bulk).

The space group is Pm-3m (No. 221) and the conventional cell measures 5.482, 5.482 and 5.482 Å, with angles of 90.00, 90.00 and 90.00 degrees. The asymmetric unit holds Ca at (0.000, 0.000, 0.000), Sc at (0.000, 0.000, 0.500) and I at (0.500, 0.500, 0.500).

The value obtained for the density of states at the Fermi level is 1.24 states/eV per atom. The formation energy without anion corrections comes out at 5.4 eV/f.u. Its electronic total energy is -3.438 eV per atom. The distance to the lowest polymorph of the same formula is 0.8513 eV per atom. The calculated density comes out at 3.0 g/cm3. The calculation puts the spin magnetization at 0.00 μB/f.u.

---

# GaBiSb

Crystalline GaBiSb at its relaxed geometry (PBE-GGA, Alexandria via LeMat-Bulk).

The space group is I4mm (No. 107) and the conventional cell measures 3.773, 3.773 and 11.207 Å, with angles of 90.00, 90.00 and 90.00 degrees. The asymmetric unit holds Ga at (0.000, 0.000, 0.000), Bi at (0.000, 0.000, 0.343) and Sb at (0.000, 0.000, 0.622).

The value obtained for the density of states at the Fermi level is 0.48 states/eV per atom. The formation energy without anion corrections comes out at 0.4 eV/f.u. Its electronic total energy is -3.558 eV per atom. The distance to the lowest polymorph of the same formula is 0.0243 eV per atom. The calculated density comes out at 8.3 g/cm3. The calculation puts the spin magnetization at 0.00 μB/f.u.

---

# CeMg3Au4

Crystalline CeMg3Au4 at its relaxed geometry (PBE-GGA, Alexandria via LeMat-Bulk).

The space group is R-3m (No. 166, hexagonal axes) and the conventional cell measures 4.6896, 4.6896 and 25.8509 Å, with angles of 90.00, 90.00 and 120.00 degrees. The asymmetric unit holds Ce at (0.0000, 0.0000, 0.0000), Mg at (0.0000, 0.0000, 0.2405), Mg at (0.0000, 0.0000, 0.5000), Au at (0.0000, 0.0000, 0.1271) and Au at (0.0000, 0.0000, 0.3930).

The value obtained for the density of states at the Fermi level is 1.18 states/eV per atom. Its electronic total energy is -3.590 eV per atom. The calculation puts the energy relative to the elements at -612 meV/atom. The calculated density comes out at 10.1 g/cm3. The calculation puts the spin magnetization at 0.97 μB/f.u.

---

# CePm3Pb2

Crystalline CePm3Pb2 at its relaxed geometry (PBE-GGA, Alexandria via LeMat-Bulk).

The space group is P-4m2 (No. 115) and the conventional cell measures 4.625, 4.625 and 8.898 Å, with angles of 90.00, 90.00 and 90.00 degrees. The asymmetric unit holds Ce at (0.000, 0.000, 0.000), Pm at (0.000, 0.500, 0.350), Pm at (0.500, 0.500, 0.000) and Pb at (0.000, 0.500, 0.719).

The value obtained for the density of states at the Fermi level is 1.52 states/eV per atom. Its electronic total energy is -5.008 eV per atom. The calculation puts the energy relative to the elements at -408 meV/atom. The distance to the lowest polymorph of the same formula is 0.0000 eV per atom. The calculated density comes out at 8.6 g/cm3. The calculation puts the spin magnetization at 0.59 μB/f.u.

---

# Ce2Nd2Pb5

Crystalline Ce2Nd2Pb5 at its relaxed geometry (PBE-GGA, Alexandria via LeMat-Bulk).

The space group is Cmce (No. 64) and the conventional cell measures 15.232, 8.503 and 8.599 Å, with angles of 90.00, 90.00 and 90.00 degrees. The asymmetric unit holds Ce at (0.000, 0.118, 0.116), Nd at (0.212, 0.000, 0.500), Pb at (0.000, 0.000, 0.500) and Pb at (0.137, 0.188, 0.813).

The value obtained for the density of states at the Fermi level is 1.40 states/eV per atom. Its electronic total energy is -4.817 eV per atom. The calculation puts the energy relative to the elements at -379 meV/atom. The calculated density comes out at 9.6 g/cm3. The calculation puts the spin magnetization at 1.10 μB/f.u.